Density functional theory data (GGA-PBE) for an optimized crystal structure of Tb2Sc3Ga2.

Calculated values
Space group: No. 12
ΔE_f, kJ per mole of atoms: -33
M_tot, μB per atom: 0.000

Lattice parameters (Å, degrees): 4.2877 5.9778 7.6480 108.79 90.00 111.02
Atoms (fractional coordinates):
Tb  0.8571  0.7142  0.2088
Tb  0.1429  0.2858  0.7912
Sc  0.5000  0.0000  0.0000
Sc  0.6295  0.2589  0.4392
Sc  0.3705  0.7411  0.5608
Ga  0.8402  0.6804  0.7855
Ga  0.1598  0.3196  0.2145

***

Density functional theory data (GGA-PBE) for an optimized crystal structure of TaV2Pt5.

Calculated values
Space group: No. 55
ΔE_f, kJ per mole of atoms: -49
M_tot, μB per atom: 0.001

Lattice parameters (Å, degrees): 3.8914 5.5759 11.2519 90.00 90.00 90.00
Atoms (fractional coordinates):
Ta  0.0000  0.0000  0.5000
Ta  0.0000  0.5000  0.0000
V  0.5000  0.2529  0.3726
V  0.5000  0.7471  0.6274
V  0.5000  0.2471  0.8726
V  0.5000  0.7529  0.1274
Pt  0.5000  0.2499  0.1211
Pt  0.5000  0.7501  0.8789
Pt  0.5000  0.7499  0.3789
Pt  0.5000  0.2501  0.6211
Pt  0.0000  0.0044  0.7450
Pt  0.0000  0.9956  0.2550
Pt  0.0000  0.5044  0.7550
Pt  0.0000  0.4956  0.2450
Pt  0.0000  0.5000  0.5000
Pt  0.0000  0.0000  0.0000

***

Density functional theory data (GGA-PBE) for an optimized crystal structure of KIr2Rh.

Calculated values
Space group: No. 10
ΔE_f, kJ per mole of atoms: 75
Relative energy among the computed polymorphs, meV per atom: 318.5
M_tot, μB per atom: 0.189

Lattice parameters (Å, degrees): 4.5679 2.7176 6.5919 79.60 90.00 90.00
Site moments in Bohr magnetons follow the coordinates.
Atoms (fractional coordinates):
Ir  0.0000  0.9392  0.9180  0.18
Ir  0.0000  0.5608  0.5820  0.18
K  0.5000  0.2500  0.2500  0.00
Rh  0.5000  0.7500  0.7500  0.35

***

Density functional theory data (GGA-PBE) for an optimized crystal structure of TbPmPaN3.

Calculated values
Space group: No. 11
Raw total energy, Ry per atom: -0.6445
M_tot, μB per atom: 0.000

Lattice parameters (Å, degrees): 3.5234 6.0421 9.1268 101.89 90.00 90.00
Atoms (fractional coordinates):
Tb  0.2500  0.1470  0.6362
Tb  0.7500  0.8530  0.3638
Pm  0.7500  0.6562  0.6899
Pm  0.2500  0.3438  0.3101
Pa  0.2500  0.7648  0.0462
Pa  0.7500  0.2352  0.9538
N  0.2500  0.7509  0.5098
N  0.7500  0.0342  0.1382
N  0.7500  0.5441  0.1456
N  0.7500  0.2491  0.4902
N  0.2500  0.4559  0.8544
N  0.2500  0.9658  0.8618

***

Density functional theory data (GGA-PBE) for an optimized crystal structure of K2AlBr.

Calculated values
Space group: No. 122
Relative energy among the computed polymorphs, meV per atom: 206.3
M_tot, μB per atom: 0.000

Lattice parameters (Å, degrees): 9.2337 9.2337 7.6106 52.65 52.65 90.00
Atoms (fractional coordinates):
K  0.6640  0.1250  0.2500
K  0.0860  0.6250  0.2500
K  0.3750  0.3360  0.7500
K  0.8750  0.9140  0.7500
Al  0.5000  0.5000  0.0000
Al  0.2500  0.7500  0.5000
Br  0.0000  0.0000  0.0000
Br  0.7500  0.2500  0.5000

***

Density functional theory data (GGA-PBE) for an optimized crystal structure of Th4CoHg2.

Calculated values
Space group: No. 139
ΔE_f, kJ per mole of atoms: -10
Relative energy among the computed polymorphs, meV per atom: 0.0
M_tot, μB per atom: 0.000

Lattice parameters (Å, degrees): 5.0754 5.0754 8.8070 106.75 106.75 90.00
Atoms (fractional coordinates):
Co  0.0000  0.0000  0.0000
Hg  0.6329  0.6329  0.2658
Hg  0.3671  0.3671  0.7342
Th  0.8203  0.8203  0.6406
Th  0.1797  0.1797  0.3594
Th  0.0000  0.5000  0.0000
Th  0.5000  0.0000  0.0000

***

Density functional theory data (GGA-PBE) for an optimized crystal structure of Si2BiO.

Calculated values
Space group: No. 122
Relative energy among the computed polymorphs, meV per atom: 0.0
M_tot, μB per atom: 0.000

Lattice parameters (Å, degrees): 4.9266 4.9266 7.2063 70.01 70.01 90.00
Atoms (fractional coordinates):
Si  0.4375  0.1250  0.2500
Si  0.3125  0.6250  0.2500
Si  0.3750  0.5625  0.7500
Si  0.8750  0.6875  0.7500
Bi  0.0000  0.0000  0.0000
Bi  0.7500  0.2500  0.5000
O  0.5000  0.5000  0.0000
O  0.2500  0.7500  0.5000

***

Density functional theory data (GGA-PBE) for an optimized crystal structure of ScFeRu.

Calculated values
Space group: No. 216
ΔE_f, kJ per mole of atoms: 20
M_tot, μB per atom: 0.598

Lattice parameters (Å, degrees): 4.1401 4.1401 4.1401 60.00 60.00 60.00
Site moments in Bohr magnetons follow the coordinates.
Atoms (fractional coordinates):
Fe  0.7500  0.7500  0.7500  1.44
Ru  0.0000  0.0000  0.0000  0.44
Sc  0.5000  0.5000  0.5000  -0.06

***

Among the records above, which one has the highest M_tot? ScFeRu